No. 1
## Co2MoIrI (PBE)

Data for a relaxed structure of Co2MoIrI.

Calculated values
- ΔE_f (raw) (eV/atom) = 1.739
- magnetization (μB per formula unit) = 8.06
- volume (A^3/atom) = 22.123
- symmetry = No. 123

Cell lengths 4.5967, 5.2350, 4.5967 Å; angles 90.00, 90.00, 90.00 degrees
With the nearest neighbours (Å) after each atom.
Positions (direct):
Co: 0.5000 0.0000 0.0000  2 Ir 2.30
Co: 0.0000 0.0000 0.5000  2 Ir 2.30
I: 0.0000 0.5000 0.0000  2 Ir 2.62
Ir: 0.0000 0.0000 0.0000  4 Co 2.30
Mo: 0.5000 0.5000 0.5000  4 I 3.25, 8 Co 3.48

---

No. 2
## KBi2HN (PBE)

Data for a relaxed structure of KBi2HN.

Calculated values
- magnetization (μB per formula unit) = 2.64
- final energy (eV per atom) = -3.15
- volume (A^3/atom) = 26.620
- symmetry = No. 123

Cell lengths 4.6076, 6.2694, 4.6076 Å; angles 90.00, 90.00, 90.00 degrees
With the nearest neighbours (Å) after each atom.
Positions (direct):
K: 0.5000 0.5000 0.5000  4 N 3.26
N: 0.0000 0.5000 0.0000  2 H 3.13, 4 K 3.26
Bi: 0.0000 0.0000 0.5000  2 H 2.30
Bi: 0.5000 0.0000 0.0000  2 H 2.30
H: 0.0000 0.0000 0.0000  4 Bi 2.30

---

No. 3
## ZnReCl (PBE)

Data for a relaxed structure of ZnReCl.

Calculated values
- ΔE_f (raw) (eV/atom) = 0.407
- magnetization (μB per formula unit) = 0.00
- volume (A^3/atom) = 18.348
- symmetry = No. 156

Cell lengths 2.8678, 2.8678, 7.7285 Å; angles 90.00, 90.00, 120.00 degrees
With the nearest neighbours (Å) after each atom.
Positions (direct):
Cl: 0.0000 0.0000 0.0785  3 Re 2.49
Zn: 0.3333 0.6667 0.6021  3 Re 2.74, 6 Zn 2.87
Re: 0.6667 0.3333 0.3193  3 Cl 2.49, 3 Zn 2.74

---

No. 4
## LiErPuIr (PBE)

Data for a relaxed structure of LiErPuIr.

Calculated values
- magnetization (μB per formula unit) = 5.70
- volume (A^3/atom) = 20.691
- symmetry = No. 216
- E_form (eV per atom) = -0.381

Cell lengths 4.8916, 4.8916, 4.8916 Å; angles 60.00, 60.00, 60.00 degrees
With the nearest neighbours (Å) after each atom.
Positions (direct):
Ir: 0.7500 0.7500 0.7500  4 Er 3.00, 4 Pu 3.00
Pu: 0.5000 0.5000 0.5000  4 Li 3.00, 4 Ir 3.00
Li: 0.2500 0.2500 0.2500  4 Er 3.00, 4 Pu 3.00
Er: 0.0000 0.0000 0.0000  4 Li 3.00, 4 Ir 3.00

---

No. 5
## NbCdCu (PBE)

Data for a relaxed structure of NbCdCu.

Calculated values
- magnetization (μB per formula unit) = 0.00
- volume (A^3/atom) = 17.150
- symmetry = No. 2
- E_form (eV per atom) = 0.136

Cell lengths 2.9100, 5.2825, 7.1668 Å; angles 96.66, 99.62, 105.95 degrees
With the nearest neighbours (Å) after each atom.
Positions (direct):
Cd: 0.7558 0.3612 0.1563  5 Cu 2.71-2.85, 2 Cd 2.91, 1 Nb 3.03
Cd: 0.2442 0.6388 0.8437  5 Cu 2.71-2.85, 2 Cd 2.91, 1 Nb 3.03
Cu: 0.0111 0.9052 0.1663  3 Cu 2.69-2.91, 5 Cd 2.71-2.85, 3 Nb 2.79-2.84
Cu: 0.9889 0.0948 0.8337  3 Cu 2.69-2.91, 5 Cd 2.71-2.85, 3 Nb 2.79-2.84
Nb: 0.5533 0.7595 0.4728  4 Nb 2.64-2.91, 3 Cu 2.79-2.84
Nb: 0.4467 0.2405 0.5272  4 Nb 2.64-2.91, 3 Cu 2.79-2.84

---

No. 6
## Tm4Mg (PBE)

Data for a relaxed structure of Tm4Mg.

Calculated values
- magnetization (μB per formula unit) = 0.00
- volume (A^3/atom) = 33.527
- symmetry = No. 221
- E_form (eV per atom) = 0.638

Cell lengths 5.5138, 5.5138, 5.5138 Å; angles 90.00, 90.00, 90.00 degrees
With the nearest neighbours (Å) after each atom.
Positions (direct):
Tm: 0.0000 0.5000 0.5000  2 Mg 2.76
Tm: 0.0000 0.0000 0.0000  12 Tm 3.90
Tm: 0.5000 0.5000 0.0000  2 Mg 2.76
Tm: 0.5000 0.0000 0.5000  2 Mg 2.76
Mg: 0.5000 0.5000 0.5000  6 Tm 2.76